First-principles (PBE) data for a relaxed structure of NaAgBiRh, as listed in Alexandria.

Unit cell a=4.324 b=4.324 c=9.319 alpha=90.00 beta=90.00 gamma=90.00
Sites, in units of the cell vectors:
Bi 0.250 0.250 0.178
Bi 0.750 0.750 0.822
Ag 0.250 0.750 0.500
Ag 0.750 0.250 0.500
Rh 0.750 0.250 0.000
Rh 0.250 0.750 0.000
Na 0.750 0.750 0.261
Na 0.250 0.250 0.739

Output
Crystal system ... tetragonal
Space group ... P4/nmm (129)
Excess energy over the best structure of this formula in the dataset ... 0.000 eV per atom
Electronic total energy ... -3.9391 eV per atom
V ... 174.3 Å³/cell

=====

First-principles (PBE) data for a relaxed structure of Mg2TaCr, as listed in Alexandria.

Unit cell a=5.593 b=5.593 c=5.593 alpha=146.51 beta=133.76 gamma=58.29
Each line ends with the local moment (μB).
Sites, in units of the cell vectors:
Cr 0.250 0.750 0.500  1.85
Mg 0.485 0.485 0.000  -0.01
Mg 0.015 0.015 0.000  -0.01
Ta 0.750 0.250 0.500  -0.44

Output
Crystal system ... orthorhombic
Space group ... Immm (71)
Excess energy over the best structure of this formula in the dataset ... 0.123 eV per atom
Electronic total energy ... -5.7712 eV per atom
V ... 69.2 Å³/cell

=====

First-principles (PBE) data for a relaxed structure of NaCaSnSb, as listed in Alexandria.

Unit cell a=5.410 b=5.410 c=5.410 alpha=60.00 beta=60.00 gamma=60.00
Sites, in units of the cell vectors:
Ca 0.000 0.000 0.000
Sn 0.250 0.250 0.250
Na 0.500 0.500 0.500
Sb 0.750 0.750 0.750

Output
Crystal system ... cubic
Raw formation energy ... -0.413 eV/atom
Space group ... F-43m (216)
Electronic total energy ... -3.2747 eV per atom
V ... 112.0 Å³/cell

=====

First-principles (PBE) data for a relaxed structure of Na3Ag8Sn, as listed in Alexandria.

Unit cell a=5.662 b=5.662 c=9.756 alpha=73.13 beta=73.13 gamma=60.00
Sites, in units of the cell vectors:
Ag 0.437 0.437 0.193
Ag 0.187 0.187 0.440
Ag 0.440 0.937 0.686
Ag 0.437 0.934 0.193
Ag 0.937 0.440 0.686
Ag 0.687 0.687 0.939
Ag 0.934 0.437 0.193
Ag 0.937 0.937 0.686
Na 0.374 0.374 0.877
Na 0.501 0.501 0.497
Na 0.000 0.000 0.000
Sn 0.880 0.880 0.361

Output
Crystal system ... trigonal
Space group ... R3m (160)
Electronic total energy ... -2.6274 eV per atom
V ... 255.2 Å³/cell

=====

First-principles (PBE) data for a relaxed structure of HoThPS, as listed in Alexandria.

Unit cell a=3.935 b=3.935 c=7.379 alpha=90.00 beta=105.44 gamma=120.00
Sites, in units of the cell vectors:
Th 0.123 0.959 0.097
S 0.974 0.385 0.374
P 0.297 0.546 0.859
Ho 0.484 0.140 0.640

Output
Crystal system ... trigonal
Raw formation energy ... -1.667 eV/atom
Space group ... R3m (160)
Electronic total energy ... -7.0509 eV per atom
V ... 94.1 Å³/cell

=====

First-principles (PBE) data for a relaxed structure of OsRhW2, as listed in Alexandria.

Unit cell a=3.945 b=3.946 c=3.886 alpha=90.00 beta=90.00 gamma=90.00
Sites, in units of the cell vectors:
W 0.500 0.500 0.000
W 0.000 0.000 0.000
Os 0.500 0.000 0.500
Rh 0.000 0.500 0.500

Output
Crystal system ... tetragonal
Space group ... P4/mmm (123)
Excess energy over the best structure of this formula in the dataset ... 0.011 eV per atom
Electronic total energy ... -11.1825 eV per atom
V ... 60.5 Å³/cell

=====

First-principles (PBE) data for a relaxed structure of Zn8AgPt4, as listed in Alexandria.

Unit cell a=4.347 b=2.823 c=16.306 alpha=90.00 beta=90.00 gamma=90.00
Sites, in units of the cell vectors:
Zn 0.500 0.000 0.581
Zn 0.000 0.000 0.492
Zn 0.500 0.500 0.730
Zn 0.000 0.500 0.919
Zn 0.000 0.500 0.190
Zn 0.500 0.500 0.030
Zn 0.500 0.000 0.245
Zn 0.000 0.000 0.776
Pt 0.000 0.000 0.057
Pt 0.000 0.500 0.637
Pt 0.500 0.500 0.437
Pt 0.500 0.000 0.872
Ag 0.000 0.000 0.336

Output
Crystal system ... orthorhombic
Space group ... Pmm2 (25)
Electronic total energy ... -3.2041 eV per atom
V ... 200.1 Å³/cell

=====

First-principles (PBE) data for a relaxed structure of Mg2PdAu5, as listed in Alexandria.

Unit cell a=4.012 b=5.902 c=11.731 alpha=90.00 beta=90.00 gamma=90.00
Sites, in units of the cell vectors:
Mg 0.500 0.240 0.621
Mg 0.500 0.760 0.379
Mg 0.500 0.740 0.879
Mg 0.500 0.260 0.121
Au 0.000 0.000 0.000
Au 0.500 0.751 0.624
Au 0.000 0.496 0.751
Au 0.500 0.249 0.376
Au 0.000 0.504 0.249
Au 0.000 0.500 0.500
Au 0.500 0.749 0.124
Au 0.500 0.251 0.876
Au 0.000 0.996 0.749
Au 0.000 0.004 0.251
Pd 0.000 0.000 0.500
Pd 0.000 0.500 0.000

Output
Crystal system ... orthorhombic
Space group ... Pbam (55)
Electronic total energy ... -3.5474 eV per atom
V ... 277.8 Å³/cell

=====

First-principles (PBE) data for a relaxed structure of Sr2PrCd, as listed in Alexandria.

Unit cell a=4.011 b=4.011 c=11.786 alpha=80.20 beta=80.20 gamma=60.00
Sites, in units of the cell vectors:
Sr 0.074 0.074 0.777
Sr 0.259 0.259 0.223
Pr 0.501 0.501 0.498
Cd 0.666 0.666 0.001

Output
Crystal system ... trigonal
Space group ... R3m (160)
Excess energy over the best structure of this formula in the dataset ... 0.072 eV per atom
Electronic total energy ... -2.2491 eV per atom
V ... 161.0 Å³/cell

=====

First-principles (PBE) data for a relaxed structure of SnOs, as listed in Alexandria.

Unit cell a=3.248 b=3.248 c=3.248 alpha=90.00 beta=90.00 gamma=90.00
Sites, in units of the cell vectors:
Sn 0.500 0.500 0.500
Os 0.000 0.000 0.000

Output
Crystal system ... cubic
Space group ... Pm-3m (221)
Electronic total energy ... -7.2011 eV per atom
V ... 34.3 Å³/cell

=====

First-principles (PBE) data for a relaxed structure of Na2UCdBr8, as listed in Alexandria.

Unit cell a=6.981 b=6.765 c=8.745 alpha=90.00 beta=90.00 gamma=95.69
Each line ends with the local moment (μB).
Sites, in units of the cell vectors:
Br 0.847 0.221 0.266  -0.03
Br 0.847 0.221 0.734  -0.03
Br 0.686 0.751 0.000  0.00
Br 0.664 0.742 0.500  -0.02
Br 0.336 0.258 0.500  -0.02
Br 0.314 0.249 0.000  0.00
Br 0.153 0.779 0.266  -0.03
Br 0.153 0.779 0.734  -0.03
Na 0.500 0.500 0.240  0.00
Na 0.500 0.500 0.760  0.00
U 0.000 0.000 0.500  2.10
Cd 0.000 0.000 0.000  0.00

Output
Crystal system ... monoclinic
Raw formation energy ... -1.246 eV/atom
Space group ... P2/m (10)
Electronic total energy ... -3.5978 eV per atom
V ... 411.0 Å³/cell

=====

First-principles (PBE) data for a relaxed structure of Pr8Nd6Pb, as listed in Alexandria.

Unit cell a=6.793 b=9.528 c=9.528 alpha=120.00 beta=90.00 gamma=90.00
Sites, in units of the cell vectors:
Nd 0.664 0.650 0.092
Nd 0.336 0.350 0.908
Nd 0.664 0.908 0.557
Nd 0.664 0.443 0.350
Nd 0.336 0.092 0.443
Nd 0.336 0.557 0.650
Pr 0.875 0.333 0.667
Pr 0.125 0.667 0.333
Pr 0.177 0.270 0.230
Pr 0.823 0.230 0.960
Pr 0.823 0.730 0.770
Pr 0.823 0.040 0.270
Pr 0.177 0.960 0.730
Pr 0.177 0.770 0.040
Pb 0.500 0.000 0.000

Output
Crystal system ... trigonal
Space group ... P-3 (147)
Electronic total energy ... -4.6620 eV per atom
V ... 534.1 Å³/cell

=====

First-principles (PBE) data for a relaxed structure of DyMgNi2P2, as listed in Alexandria.

Unit cell a=3.850 b=3.850 c=7.358 alpha=90.00 beta=90.00 gamma=120.00
Sites, in units of the cell vectors:
P 0.667 0.333 0.745
P 0.333 0.667 0.255
Dy 0.000 0.000 0.000
Mg 0.000 0.000 0.500
Ni 0.333 0.667 0.723
Ni 0.667 0.333 0.277

Output
Crystal system ... trigonal
Space group ... P-3m1 (164)
Electronic total energy ... -5.6675 eV per atom
V ... 94.4 Å³/cell

=====

First-principles (PBE) data for a relaxed structure of Pr3SmHo3, as listed in Alexandria.

Unit cell a=5.814 b=9.717 c=9.717 alpha=120.00 beta=90.00 gamma=90.00
Sites, in units of the cell vectors:
Ho 0.250 0.954 0.187
Ho 0.750 0.187 0.232
Ho 0.250 0.232 0.046
Ho 0.750 0.768 0.954
Ho 0.250 0.813 0.768
Ho 0.750 0.046 0.813
Pr 0.250 0.096 0.622
Pr 0.750 0.904 0.378
Pr 0.250 0.526 0.904
Pr 0.750 0.622 0.526
Pr 0.750 0.474 0.096
Pr 0.250 0.378 0.474
Sm 0.250 0.667 0.333
Sm 0.750 0.333 0.667

Output
Crystal system ... hexagonal
Space group ... P6_3/m (176)
Excess energy over the best structure of this formula in the dataset ... 0.000 eV per atom
Electronic total energy ... -4.6565 eV per atom
V ... 475.3 Å³/cell

=====

First-principles (PBE) data for a relaxed structure of ScNi2Os, as listed in Alexandria.

Unit cell a=4.276 b=2.745 c=4.701 alpha=84.15 beta=90.00 gamma=90.00
Sites, in units of the cell vectors:
Sc 0.500 0.689 0.803
Os 0.000 0.543 0.427
Ni 0.500 0.126 0.294
Ni 0.000 0.142 0.976

Output
Crystal system ... monoclinic
Space group ... Pm (6)
Excess energy over the best structure of this formula in the dataset ... 0.005 eV per atom
Electronic total energy ... -7.4334 eV per atom
V ... 54.9 Å³/cell

=====

First-principles (PBE) data for a relaxed structure of LiScNb2, as listed in Alexandria.

Unit cell a=4.676 b=4.676 c=4.676 alpha=60.00 beta=60.00 gamma=60.00
Sites, in units of the cell vectors:
Li 0.000 0.000 0.000
Sc 0.500 0.500 0.500
Nb 0.250 0.250 0.250
Nb 0.750 0.750 0.750

Output
Crystal system ... cubic
Space group ... Fm-3m (225)
Excess energy over the best structure of this formula in the dataset ... 0.037 eV per atom
Electronic total energy ... -6.5400 eV per atom
V ... 72.3 Å³/cell

=====

First-principles (PBE) data for a relaxed structure of Ba2Ge3Pd6, as listed in Alexandria.

Unit cell a=4.462 b=7.789 c=7.789 alpha=120.00 beta=90.00 gamma=90.00
Sites, in units of the cell vectors:
Pd 0.500 0.302 0.000
Pd 0.000 0.000 0.798
Pd 0.500 0.000 0.302
Pd 0.000 0.798 0.000
Pd 0.000 0.202 0.202
Pd 0.500 0.698 0.698
Ba 0.000 0.333 0.667
Ba 0.000 0.667 0.333
Ge 0.500 0.649 0.000
Ge 0.500 0.000 0.649
Ge 0.500 0.351 0.351

Output
Crystal system ... hexagonal
Space group ... P-62m (189)
Electronic total energy ... -4.9675 eV per atom
V ... 234.4 Å³/cell

=====

First-principles (PBE) data for a relaxed structure of ErAl4Ag, as listed in Alexandria.

Unit cell a=4.217 b=4.371 c=6.494 alpha=90.00 beta=108.95 gamma=90.00
Sites, in units of the cell vectors:
Er 0.000 0.000 0.000
Al 0.829 0.500 0.659
Al 0.319 0.000 0.639
Al 0.171 0.500 0.341
Al 0.681 0.000 0.361
Ag 0.500 0.500 0.000

Output
Crystal system ... orthorhombic
Space group ... Cmmm (65)
Excess energy over the best structure of this formula in the dataset ... 0.000 eV per atom
Electronic total energy ... -3.8891 eV per atom
V ... 113.2 Å³/cell

=====

First-principles (PBE) data for a relaxed structure of ScCo2W, as listed in Alexandria.

Unit cell a=4.088 b=4.088 c=5.651 alpha=82.98 beta=82.98 gamma=39.71
Sites, in units of the cell vectors:
Co 0.002 0.002 0.037
Co 0.498 0.498 0.463
W 0.250 0.250 0.250
Sc 0.750 0.750 0.750

Output
Crystal system ... monoclinic
Space group ... C2/m (12)
Excess energy over the best structure of this formula in the dataset ... 0.285 eV per atom
Electronic total energy ... -8.1569 eV per atom
V ... 59.8 Å³/cell

=====

First-principles (PBE) data for a relaxed structure of Ac3Al2SiPd9, as listed in Alexandria.

Unit cell a=6.645 b=6.645 c=8.541 alpha=90.00 beta=90.00 gamma=120.00
Sites, in units of the cell vectors:
Pd 0.286 0.143 0.702
Pd 0.143 0.286 0.298
Pd 0.500 0.000 0.000
Pd 0.714 0.857 0.298
Pd 0.000 0.500 0.000
Pd 0.500 0.500 0.000
Pd 0.143 0.857 0.298
Pd 0.857 0.714 0.702
Pd 0.857 0.143 0.702
Al 0.667 0.333 0.815
Al 0.333 0.667 0.185
Si 0.000 0.000 0.500
Ac 0.667 0.333 0.335
Ac 0.000 0.000 0.000
Ac 0.333 0.667 0.665

Output
Crystal system ... trigonal
Raw formation energy ... -0.683 eV/atom
Space group ... P-3m1 (164)
Electronic total energy ... -5.4810 eV per atom
V ... 326.6 Å³/cell